# PBE Cu3NiSn, relaxed
# size of the total moment: 0.1915 μB per atom
# formation energy: 1.181 eV per atom
# relative energy among the computed polymorphs: 2.90 eV per formula unit
# volume: 21.6 Å³ per atom
# total energy: -3.233 eV/atom
data_Cu3NiSn
_space_group_name_H-M_alt 'P m -3 m'
_space_group_IT_number 221
_space_group_name_Hall '-P 4 2 3'
_cell_length_a 4.7631
_cell_length_b 4.7631
_cell_length_c 4.7631
_cell_angle_alpha 90.00
_cell_angle_beta 90.00
_cell_angle_gamma 90.00
loop_
_atom_site_label
_atom_site_type_symbol
_atom_site_fract_x
_atom_site_fract_y
_atom_site_fract_z
_atom_site_occupancy
Cu1 Cu 0.0000 0.0000 0.5000 1
Ni1 Ni 0.5000 0.5000 0.5000 1
Sn1 Sn 0.0000 0.0000 0.0000 1


# PBE Cs3AcTl2I9, relaxed
# size of the total moment: 0.0000 μB per atom
# ΔE_f (raw): -1.173 eV per atom
# volume: 55.2 Å³ per atom
# total energy: -2.863 eV/atom
data_Cs3AcTl2I9
_space_group_name_H-M_alt 'P -3 m 1'
_space_group_IT_number 164
_space_group_name_Hall '-P 3 2"'
_cell_length_a 9.1994
_cell_length_b 9.1994
_cell_length_c 11.2994
_cell_angle_alpha 90.00
_cell_angle_beta 90.00
_cell_angle_gamma 120.00
loop_
_atom_site_label
_atom_site_type_symbol
_atom_site_fract_x
_atom_site_fract_y
_atom_site_fract_z
_atom_site_occupancy
Cs1 Cs 0.0000 0.0000 0.0000 1
Cs2 Cs 0.3333 0.6667 0.7029 1
Ac1 Ac 0.0000 0.0000 0.5000 1
Tl1 Tl 0.3333 0.6667 0.1516 1
I1 I 0.0000 0.5000 0.0000 1
I2 I 0.1652 0.3305 0.3329 1


# PBE K4Sr2Mo, relaxed
# size of the total moment: 0.6929 μB per atom
# formation energy: 0.910 eV per atom
# volume: 68.1 Å³ per atom
# total energy: -1.745 eV/atom
data_K4Sr2Mo
_space_group_name_H-M_alt 'I 4/m m m'
_space_group_IT_number 139
_space_group_name_Hall '-I 4 2'
_cell_length_a 6.7581
_cell_length_b 6.7581
_cell_length_c 20.8882
_cell_angle_alpha 90.00
_cell_angle_beta 90.00
_cell_angle_gamma 90.00
loop_
_atom_site_label
_atom_site_type_symbol
_atom_site_fract_x
_atom_site_fract_y
_atom_site_fract_z
_atom_site_occupancy
K1 K 0.0000 0.0000 0.1745 1
K2 K 0.0000 0.5000 0.0000 1
Sr1 Sr 0.0000 0.0000 0.3836 1
Mo1 Mo 0.0000 0.0000 0.0000 1


# PBE GdY2Os, relaxed
# size of the total moment: 1.9297 μB per atom
# formation energy: -0.091 eV per atom
# relative energy among the computed polymorphs: 0.00 eV per formula unit
# volume: 27.2 Å³ per atom
# total energy: -9.651 eV/atom
data_GdY2Os
_space_group_name_H-M_alt 'P 4/m m m'
_space_group_IT_number 123
_space_group_name_Hall '-P 4 2'
_cell_length_a 3.4199
_cell_length_b 3.4199
_cell_length_c 9.2871
_cell_angle_alpha 90.00
_cell_angle_beta 90.00
_cell_angle_gamma 90.00
loop_
_atom_site_label
_atom_site_type_symbol
_atom_site_fract_x
_atom_site_fract_y
_atom_site_fract_z
_atom_site_occupancy
Gd1 Gd 0.0000 0.0000 0.0000 1
Y1 Y 0.5000 0.5000 0.3210 1
Os1 Os 0.0000 0.0000 0.5000 1


# PBE KSb3N, relaxed
# size of the total moment: 0.0000 μB per atom
# relative energy among the computed polymorphs: 10.58 eV per formula unit
# ΔE_f (raw): 2.578 eV per atom
# volume: 40.0 Å³ per atom
# total energy: -1.780 eV/atom
data_KSb3N
_space_group_name_H-M_alt 'P m -3 m'
_space_group_IT_number 221
_space_group_name_Hall '-P 4 2 3'
_cell_length_a 5.8496
_cell_length_b 5.8496
_cell_length_c 5.8496
_cell_angle_alpha 90.00
_cell_angle_beta 90.00
_cell_angle_gamma 90.00
loop_
_atom_site_label
_atom_site_type_symbol
_atom_site_fract_x
_atom_site_fract_y
_atom_site_fract_z
_atom_site_occupancy
K1 K 0.0000 0.0000 0.0000 1
Sb1 Sb 0.0000 0.0000 0.5000 1
N1 N 0.5000 0.5000 0.5000 1


# PBE Hf2RuPt, relaxed
# size of the total moment: 0.0000 μB per atom
# formation energy: -0.863 eV per atom
# volume: 17.7 Å³ per atom
# total energy: -9.669 eV/atom
data_Hf2RuPt
_space_group_name_H-M_alt 'P 4/m m m'
_space_group_IT_number 123
_space_group_name_Hall '-P 4 2'
_cell_length_a 3.2812
_cell_length_b 3.2812
_cell_length_c 6.5916
_cell_angle_alpha 90.00
_cell_angle_beta 90.00
_cell_angle_gamma 90.00
loop_
_atom_site_label
_atom_site_type_symbol
_atom_site_fract_x
_atom_site_fract_y
_atom_site_fract_z
_atom_site_occupancy
Hf1 Hf 0.0000 0.0000 0.2453 1
Ru1 Ru 0.5000 0.5000 0.0000 1
Pt1 Pt 0.5000 0.5000 0.5000 1


# PBE LiCaAg2F8, relaxed
# size of the total moment: 0.2528 μB per atom
# ΔE_f (raw): -1.979 eV per atom
# volume: 12.9 Å³ per atom
# total energy: -4.028 eV/atom
data_LiCaAg2F8
_space_group_name_H-M_alt 'I -4'
_space_group_IT_number 82
_space_group_name_Hall 'I -4'
_cell_length_a 5.3696
_cell_length_b 5.3696
_cell_length_c 10.7593
_cell_angle_alpha 90.00
_cell_angle_beta 90.00
_cell_angle_gamma 90.00
loop_
_atom_site_label
_atom_site_type_symbol
_atom_site_fract_x
_atom_site_fract_y
_atom_site_fract_z
_atom_site_occupancy
Li1 Li 0.0000 0.0000 0.0000 1
Ca1 Ca 0.0000 0.5000 0.2500 1
Ag1 Ag 0.0000 0.0000 0.5000 1
Ag2 Ag 0.0000 0.5000 0.7500 1
F1 F 0.2443 0.2525 0.6240 1
F2 F 0.2461 0.2539 0.8767 1


# PBE Ho3ErAg2, relaxed
# size of the total moment: 0.0000 μB per atom
# formation energy: 0.029 eV per atom
# relative energy among the computed polymorphs: 1.39 eV per formula unit
# volume: 29.8 Å³ per atom
# total energy: -3.971 eV/atom
data_Ho3ErAg2
_space_group_name_H-M_alt 'I b a m'
_space_group_IT_number 72
_space_group_name_Hall '-I 2 2c'
_cell_length_a 7.0043
_cell_length_b 13.8992
_cell_length_c 7.3485
_cell_angle_alpha 90.00
_cell_angle_beta 90.00
_cell_angle_gamma 90.00
loop_
_atom_site_label
_atom_site_type_symbol
_atom_site_fract_x
_atom_site_fract_y
_atom_site_fract_z
_atom_site_occupancy
Ho1 Ho 0.0000 0.0000 0.2500 1
Ho2 Ho 0.0000 0.2719 0.2500 1
Er1 Er 0.0000 0.5000 0.0000 1
Ag1 Ag 0.2013 0.1416 0.0000 1